1.
Pm2EuHo (PBE, optimized geometry); density = 7.227 g/cm3; V = 34.9 A^3/atom; space group = P4/mmm; relative energy among the computed polymorphs = 0 meV/atom
1.0
-1.079 3.490 0.230
-2.756 -0.996 2.193
6.125 1.347 8.309
Pm Ho Eu
2 1 1
direct
0.000 0.000 0.235
0.000 0.000 0.765
0.500 0.500 0.000
0.500 0.500 0.500


2.
Ca2MnNi (PBE, optimized geometry); density = 3.385 g/cm3; V = 23.8 A^3/atom; space group = P4mm; E_tot = -4.581 eV/atom
1.0
3.393 0.000 0.000
0.000 3.393 0.000
0.000 0.000 8.255
Ni Ca Mn
1 2 1
direct
0.500 0.500 0.678
0.000 0.000 0.928
0.500 0.500 0.317
0.000 0.000 0.577


3.
Ca5Ag2Pb5 (PBE, optimized geometry); density = 6.952 g/cm3; V = 28.9 A^3/atom; space group = C2/m; E_tot = -3.270 eV/atom
1.0
-3.678 -1.869 -2.655
-2.740 -7.157 4.302
-7.518 2.308 4.258
Ca Ag Pb
5 2 5
direct
0.375 0.321 0.929
0.671 0.994 0.664
0.329 0.006 0.336
0.625 0.679 0.071
0.500 0.500 0.500
0.849 0.568 0.734
0.151 0.432 0.266
0.049 0.251 0.651
0.753 0.259 0.234
0.247 0.741 0.766
0.000 0.000 0.000
0.951 0.749 0.349


Which value of V does entry 3 give?
28.9 A^3/atom


density of number 1 (Pm2EuHo)?
7.227 g/cm3